# NaCaFeSi4O12 | Alexandria | GGA+U | relaxed
data_NaCaFeSi4O12
_cell_length_a 9.928
_cell_length_b 9.143
_cell_length_c 5.295
_cell_angle_alpha 90.00
_cell_angle_beta 105.63
_cell_angle_gamma 90.00
_space_group_name_H-M_alt 'C 1 2 1'
_space_group_IT_number 5
_space_group_name_Hall 'C 2y'
loop_
_atom_site_label
_atom_site_type_symbol
_atom_site_fract_x
_atom_site_fract_y
_atom_site_fract_z
_atom_site_occupancy
Na1 Na 0.000 0.000 0.000 1
Ca1 Ca 0.000 0.421 0.500 1
Fe1 Fe 0.000 0.792 0.500 1
Si1 Si 0.210 0.289 0.025 1
Si2 Si 0.212 0.111 0.514 1
O1 O 0.120 0.624 0.433 1
O2 O 0.122 0.808 0.872 1
O3 O 0.133 0.446 0.945 1
O4 O 0.140 0.212 0.245 1
O5 O 0.143 0.950 0.448 1
O6 O 0.158 0.190 0.752 1
# * V: 231.4 Å³/f.u.
# * total energy: -7.03 eV per atom